# 1
This record from Alexandria via LeMat-Bulk describes OsPbCl2 after structural relaxation. The functional is PBEsol.

Summary:
distance to the lowest polymorph of the same formula = 10.14 kcal/mol of atoms
M_tot = 0.802 μB per atom

extended XYZ file:
```
4
Lattice="3.102 0.000 0.000 0.000 3.102 0.000 0.000 0.000 8.524" Properties=species:S:1:pos:R:3 pbc="T T T"
Os 0.000 0.000 0.000
Pb 0.000 0.000 4.262
Cl 1.551 1.551 1.651
Cl 1.551 1.551 6.873
```



# 2
This record from Alexandria via LeMat-Bulk describes K3SbS3 after structural relaxation. The functional is PBEsol.

Summary:
electronic total energy = -4.00 eV/atom
M_tot = 0.000 μB per atom

extended XYZ file:
```
28
Lattice="9.380 0.000 0.000 0.000 9.380 0.000 0.000 0.000 9.380" Properties=species:S:1:pos:R:3 pbc="T T T"
K 0.575 0.575 0.575
K 0.620 8.759 4.069
K 1.654 3.036 6.344
K 3.036 6.344 1.654
K 4.069 0.620 8.759
K 4.115 8.805 5.265
K 5.265 4.115 8.805
K 5.310 5.310 5.310
K 6.344 1.654 3.036
K 7.726 7.726 7.726
K 8.759 4.069 0.620
K 8.805 5.265 4.115
Sb 2.055 6.745 7.325
Sb 2.635 2.635 2.635
Sb 6.745 7.325 2.055
Sb 7.325 2.055 6.745
S 0.299 2.382 3.299
S 1.391 9.081 7.072
S 2.308 6.081 4.989
S 2.382 3.299 0.299
S 3.299 0.299 2.382
S 4.391 6.997 7.989
S 4.989 2.308 6.081
S 6.081 4.989 2.308
S 6.997 7.989 4.391
S 7.072 1.391 9.081
S 7.989 4.391 6.997
S 9.081 7.072 1.391
```



Q: Among the records above, which one has the lowest M_tot?
A: K3SbS3



Copy entry 1 word for word.
This record from Alexandria via LeMat-Bulk describes OsPbCl2 after structural relaxation. The functional is PBEsol.

Summary:
distance to the lowest polymorph of the same formula = 10.14 kcal/mol of atoms
M_tot = 0.802 μB per atom

extended XYZ file:
```
4
Lattice="3.102 0.000 0.000 0.000 3.102 0.000 0.000 0.000 8.524" Properties=species:S:1:pos:R:3 pbc="T T T"
Os 0.000 0.000 0.000
Pb 0.000 0.000 4.262
Cl 1.551 1.551 1.651
Cl 1.551 1.551 6.873
```



Q: M_tot of number 2 (K3SbS3)?
A: 0.000 μB per atom